The following is a DFT calculation (PBE with a Hubbard U) of a geometry-optimized CrCuBiO4 structure.

As for the energy: -6.13 eV/atom. As for the spin magnetization: 8.00 μB per cell.

The structure belongs to space group Cmcm (No. 63); the cell edges are 6.293, 9.201 and 6.748 Å and the angles 90.00°, 90.00° and 90.00°. The asymmetric unit holds Cr at (0.000, 0.136, 0.250), Cu at (0.000, 0.186, 0.750), Bi at (0.000, 0.500, 0.000), O at (0.000, 0.244, 0.026) and O at (0.230, 0.010, 0.250).